Entry from the Alexandria database: SmThZnPb after structural relaxation (PBE-GGA).

Structure (POSCAR):
```
SmThZnPb
1.0
7.6235 0.0000 0.0000
0.0000 7.6235 0.0000
0.0000 0.0000 7.6235
Sm Th Zn Pb
4 4 4 4
direct
0.0000 0.0000 0.0000
0.0000 0.5000 0.5000
0.5000 0.0000 0.5000
0.5000 0.5000 0.0000
0.0000 0.0000 0.5000
0.0000 0.5000 0.0000
0.5000 0.0000 0.0000
0.5000 0.5000 0.5000
0.2500 0.2500 0.7500
0.2500 0.7500 0.2500
0.7500 0.2500 0.2500
0.7500 0.7500 0.7500
0.2500 0.2500 0.2500
0.2500 0.7500 0.7500
0.7500 0.2500 0.7500
0.7500 0.7500 0.2500
```

Computed properties:
Crystal system: cubic
Calculated formation energy in kcal/mol of atoms: -5.48